An optimized crystal structure of AsRuBr2. Source: the Alexandria database, functional PBEsol.

Computed properties:
ΔE_f (raw) = 0.1904 eV/atom
energy above the lowest structure with this stoichiometry = 24 meV per atom

Structure (CIF):
```
data_AsRuBr2
_space_group_name_H-M_alt 'P 1'
_space_group_IT_number 1
_cell_length_a 3.180
_cell_length_b 4.117
_cell_length_c 7.268
_cell_angle_alpha 100.49
_cell_angle_beta 102.64
_cell_angle_gamma 90.00
loop_
_space_group_symop_operation_xyz
'x,y,z'
loop_
_atom_site_label
_atom_site_type_symbol
_atom_site_fract_x
_atom_site_fract_y
_atom_site_fract_z
Br1 Br 0.150 0.201 0.300
Br2 Br 0.850 0.799 0.700
Ru1 Ru 0.500 0.000 0.000
As1 As 0.000 0.500 0.000
```

An optimized crystal structure of AsRuBr2. Source: the Alexandria database, functional PBEsol.

Computed properties:
ΔE_f (raw) = 0.2019 eV/atom
energy above the lowest structure with this stoichiometry = 35 meV per atom

Structure (CIF):
```
data_AsRuBr2
_space_group_name_H-M_alt 'P 1'
_space_group_IT_number 1
_cell_length_a 3.133
_cell_length_b 4.241
_cell_length_c 7.379
_cell_angle_alpha 106.70
_cell_angle_beta 102.26
_cell_angle_gamma 90.00
loop_
_space_group_symop_operation_xyz
'x,y,z'
loop_
_atom_site_label
_atom_site_type_symbol
_atom_site_fract_x
_atom_site_fract_y
_atom_site_fract_z
As1 As 0.500 0.000 0.000
Br1 Br 0.351 0.351 0.701
Br2 Br 0.649 0.649 0.299
Ru1 Ru 0.000 0.500 0.000
```

An optimized crystal structure of AsRu2Br. Source: the Alexandria database, functional PBEsol.

Computed properties:
ΔE_f (raw) = 0.3126 eV/atom
energy above the lowest structure with this stoichiometry = 0 meV per atom

Structure (CIF):
```
data_AsRu2Br
_space_group_name_H-M_alt 'P 1'
_space_group_IT_number 1
_cell_length_a 3.015
_cell_length_b 3.015
_cell_length_c 7.961
_cell_angle_alpha 79.08
_cell_angle_beta 79.08
_cell_angle_gamma 60.00
loop_
_space_group_symop_operation_xyz
'x,y,z'
loop_
_atom_site_label
_atom_site_type_symbol
_atom_site_fract_x
_atom_site_fract_y
_atom_site_fract_z
As1 As 0.500 0.500 0.500
Ru1 Ru 0.243 0.243 0.271
Ru2 Ru 0.757 0.757 0.729
Br1 Br 0.000 0.000 0.000
```

An optimized crystal structure of AsRuBr2. Source: the Alexandria database, functional PBEsol.

Computed properties:
ΔE_f (raw) = 0.1667 eV/atom
energy above the lowest structure with this stoichiometry = 0 meV per atom

Structure (CIF):
```
data_AsRuBr2
_space_group_name_H-M_alt 'P 1'
_space_group_IT_number 1
_cell_length_a 4.633
_cell_length_b 6.871
_cell_length_c 6.871
_cell_angle_alpha 83.47
_cell_angle_beta 70.30
_cell_angle_gamma 70.30
loop_
_space_group_symop_operation_xyz
'x,y,z'
loop_
_atom_site_label
_atom_site_type_symbol
_atom_site_fract_x
_atom_site_fract_y
_atom_site_fract_z
Ru1 Ru 0.000 0.000 0.000
Ru2 Ru 0.750 0.500 0.500
Br1 Br 0.875 0.359 0.141
Br2 Br 0.375 0.641 0.859
Br3 Br 0.766 0.859 0.359
Br4 Br 0.984 0.141 0.641
As1 As 0.500 0.000 0.000
As2 As 0.250 0.500 0.500
```

An optimized crystal structure of AsRu2Br. Source: the Alexandria database, functional PBEsol.

Computed properties:
ΔE_f (raw) = 0.5781 eV/atom
energy above the lowest structure with this stoichiometry = 266 meV per atom

Structure (CIF):
```
data_AsRu2Br
_space_group_name_H-M_alt 'P 1'
_space_group_IT_number 1
_cell_length_a 2.832
_cell_length_b 2.877
_cell_length_c 9.733
_cell_angle_alpha 90.00
_cell_angle_beta 90.00
_cell_angle_gamma 119.49
loop_
_space_group_symop_operation_xyz
'x,y,z'
loop_
_atom_site_label
_atom_site_type_symbol
_atom_site_fract_x
_atom_site_fract_y
_atom_site_fract_z
As1 As 0.000 0.000 0.449
Ru1 Ru 0.500 0.000 0.238
Ru2 Ru 0.000 0.000 0.018
Br1 Br 0.500 0.000 0.795
```

An optimized crystal structure of AsRuBr2. Source: the Alexandria database, functional PBEsol.

Computed properties:
ΔE_f (raw) = 0.7703 eV/atom
energy above the lowest structure with this stoichiometry = 604 meV per atom

Structure (CIF):
```
data_AsRuBr2
_space_group_name_H-M_alt 'P 1'
_space_group_IT_number 1
_cell_length_a 3.113
_cell_length_b 4.397
_cell_length_c 5.570
_cell_angle_alpha 90.00
_cell_angle_beta 90.00
_cell_angle_gamma 90.00
loop_
_space_group_symop_operation_xyz
'x,y,z'
loop_
_atom_site_label
_atom_site_type_symbol
_atom_site_fract_x
_atom_site_fract_y
_atom_site_fract_z
Br1 Br 0.000 0.000 0.000
Br2 Br 0.500 0.000 0.500
Ru1 Ru 0.500 0.500 0.000
As1 As 0.000 0.500 0.500
```

An optimized crystal structure of AsRuBr2. Source: the Alexandria database, functional PBEsol.

Computed properties:
ΔE_f (raw) = 0.5877 eV/atom
energy above the lowest structure with this stoichiometry = 421 meV per atom

Structure (CIF):
```
data_AsRuBr2
_space_group_name_H-M_alt 'P 1'
_space_group_IT_number 1
_cell_length_a 2.905
_cell_length_b 2.905
_cell_length_c 11.866
_cell_angle_alpha 82.97
_cell_angle_beta 82.97
_cell_angle_gamma 60.00
loop_
_space_group_symop_operation_xyz
'x,y,z'
loop_
_atom_site_label
_atom_site_type_symbol
_atom_site_fract_x
_atom_site_fract_y
_atom_site_fract_z
Br1 Br 0.933 0.933 0.200
Br2 Br 0.067 0.067 0.800
Ru1 Ru 0.000 0.000 0.000
As1 As 0.500 0.500 0.500
```

An optimized crystal structure of ScAs2RuBr. Source: the Alexandria database, functional PBEsol.

Computed properties:
ΔE_f (raw) = 0.8390 eV/atom

Structure (CIF):
```
data_ScAs2RuBr
_space_group_name_H-M_alt 'P 1'
_space_group_IT_number 1
_cell_length_a 4.959
_cell_length_b 5.034
_cell_length_c 5.034
_cell_angle_alpha 90.00
_cell_angle_beta 90.00
_cell_angle_gamma 90.00
loop_
_space_group_symop_operation_xyz
'x,y,z'
loop_
_atom_site_label
_atom_site_type_symbol
_atom_site_fract_x
_atom_site_fract_y
_atom_site_fract_z
As1 As 0.000 0.000 0.500
As2 As 0.000 0.500 0.000
Br1 Br 0.500 0.000 0.000
Ru1 Ru 0.500 0.500 0.500
Sc1 Sc 0.000 0.000 0.000
```

An optimized crystal structure of TcAsRuBr2. Source: the Alexandria database, functional PBEsol.

Computed properties:
ΔE_f (raw) = 1.1526 eV/atom

Structure (CIF):
```
data_TcAsRuBr2
_space_group_name_H-M_alt 'P 1'
_space_group_IT_number 1
_cell_length_a 4.617
_cell_length_b 5.027
_cell_length_c 5.027
_cell_angle_alpha 90.00
_cell_angle_beta 90.00
_cell_angle_gamma 90.00
loop_
_space_group_symop_operation_xyz
'x,y,z'
loop_
_atom_site_label
_atom_site_type_symbol
_atom_site_fract_x
_atom_site_fract_y
_atom_site_fract_z
Br1 Br 0.000 0.500 0.000
Br2 Br 0.000 0.000 0.500
Tc1 Tc 0.500 0.500 0.500
Ru1 Ru 0.000 0.000 0.000
As1 As 0.500 0.000 0.000
```

An optimized crystal structure of AsS2Br. Source: the Alexandria database, functional PBEsol.

Computed properties:
ΔE_f (raw) = 0.6353 eV/atom

Structure (CIF):
```
data_AsS2Br
_space_group_name_H-M_alt 'P 1'
_space_group_IT_number 1
_cell_length_a 4.641
_cell_length_b 4.641
_cell_length_c 4.641
_cell_angle_alpha 60.00
_cell_angle_beta 60.00
_cell_angle_gamma 60.00
loop_
_space_group_symop_operation_xyz
'x,y,z'
loop_
_atom_site_label
_atom_site_type_symbol
_atom_site_fract_x
_atom_site_fract_y
_atom_site_fract_z
S1 S 0.750 0.750 0.750
S2 S 0.250 0.250 0.250
As1 As 0.000 0.000 0.000
Br1 Br 0.500 0.500 0.500
```

An optimized crystal structure of AsSBr3. Source: the Alexandria database, functional PBEsol.

Computed properties:
ΔE_f (raw) = 0.5806 eV/atom

Structure (CIF):
```
data_AsSBr3
_space_group_name_H-M_alt 'P 1'
_space_group_IT_number 1
_cell_length_a 5.071
_cell_length_b 5.071
_cell_length_c 5.071
_cell_angle_alpha 90.00
_cell_angle_beta 90.00
_cell_angle_gamma 90.00
loop_
_space_group_symop_operation_xyz
'x,y,z'
loop_
_atom_site_label
_atom_site_type_symbol
_atom_site_fract_x
_atom_site_fract_y
_atom_site_fract_z
Br1 Br 0.000 0.500 0.000
Br2 Br 0.000 0.000 0.500
Br3 Br 0.500 0.000 0.000
S1 S 0.000 0.000 0.000
As1 As 0.500 0.500 0.500
```

An optimized crystal structure of Sc2AsSBr. Source: the Alexandria database, functional PBEsol.

Computed properties:
ΔE_f (raw) = -0.1938 eV/atom

Structure (CIF):
```
data_Sc2AsSBr
_space_group_name_H-M_alt 'P 1'
_space_group_IT_number 1
_cell_length_a 4.967
_cell_length_b 5.081
_cell_length_c 5.081
_cell_angle_alpha 90.00
_cell_angle_beta 90.00
_cell_angle_gamma 90.00
loop_
_space_group_symop_operation_xyz
'x,y,z'
loop_
_atom_site_label
_atom_site_type_symbol
_atom_site_fract_x
_atom_site_fract_y
_atom_site_fract_z
S1 S 0.500 0.500 0.500
As1 As 0.000 0.000 0.000
Sc1 Sc 0.000 0.500 0.000
Sc2 Sc 0.000 0.000 0.500
Br1 Br 0.500 0.000 0.000
```

Total magnetization across the listed records, respectively: 0.23; 0.00; 0.00; 0.03; 0.00; 0.94; 0.00; 2.60; 4.54; 0.00; 2.04; 0.00 μB/f.u..